Entry 1:
Density functional theory data (PBE-GGA) for a relaxed ZnCr3Rh crystal.

abc: 4.7357 4.7357 4.7357
angles: 90.00 90.00 90.00
Closest atoms and distances in Å follow each position.
Space group Pm-3m (No. 221)
One atom of each set of equivalent atoms:
Zn1 0.0000 0.0000 0.0000 [1 per cell]  12 Cr 3.35
Cr1 0.0000 0.5000 0.5000 [3 per cell]  2 Rh 2.37
Rh1 0.5000 0.5000 0.5000 [1 per cell]  6 Cr 2.37

Calculated volume ... 21.24 Å³ per atom

=====

Entry 2:
Density functional theory data (PBE-GGA) for a relaxed Zn3CrRh4 crystal.

abc: 3.0200 4.2788 8.5237
angles: 90.00 90.00 90.00
Closest atoms and distances in Å follow each position.
Space group Pmmm (No. 47)
One atom of each set of equivalent atoms:
Zn1 0.0000 0.0000 0.0000 [1 per cell]  8 Rh 2.62-2.67
Zn2 0.0000 0.5000 0.2490 [2 per cell]  8 Rh 2.60-2.62
Cr1 0.0000 0.0000 0.5000 [1 per cell]  8 Rh 2.56-2.62
Rh1 0.5000 0.0000 0.2578 [2 per cell]  2 Cr 2.56, 6 Zn 2.62-2.67
Rh2 0.5000 0.5000 0.0000 [1 per cell]  8 Zn 2.60-2.62
Rh3 0.5000 0.5000 0.5000 [1 per cell]  4 Cr 2.62, 4 Zn 2.62

Calculated volume ... 13.77 Å³ per atom

=====

Entry 3:
Density functional theory data (PBE-GGA) for a relaxed ZrZnCrRh crystal.

abc: 6.3289 6.3289 6.3289
angles: 90.00 90.00 90.00
Closest atoms and distances in Å follow each position.
Space group F-43m (No. 216)
One atom of each set of equivalent atoms:
Zr1 0.0000 0.0000 0.0000 [4 per cell]  4 Rh 2.74, 4 Cr 2.74
Zn1 0.0000 0.0000 0.5000 [4 per cell]  4 Cr 2.74, 4 Rh 2.74
Cr1 0.2500 0.2500 0.7500 [4 per cell]  4 Zr 2.74, 4 Zn 2.74
Rh1 0.2500 0.2500 0.2500 [4 per cell]  4 Zn 2.74, 4 Zr 2.74

Calculated volume ... 15.84 Å³ per atom

=====

Entry 4:
Density functional theory data (PBE-GGA) for a relaxed ZrCr2Rh crystal.

abc: 6.3082 6.3082 6.3082
angles: 90.00 90.00 90.00
Closest atoms and distances in Å follow each position.
Space group F-43m (No. 216)
One atom of each set of equivalent atoms:
Zr1 0.0000 0.0000 0.0000 [4 per cell]  4 Rh 2.73, 4 Cr 2.73
Cr1 0.0000 0.0000 0.5000 [4 per cell]  4 Cr 2.73, 4 Rh 2.73
Cr2 0.2500 0.2500 0.7500 [4 per cell]  4 Cr 2.73, 4 Zr 2.73
Rh1 0.2500 0.2500 0.2500 [4 per cell]  4 Cr 2.73, 4 Zr 2.73

Calculated volume ... 15.69 Å³ per atom
Energy relative to the lowest polymorph listed for this composition ... 0 meV per atom

=====

| no. | ΔH_f (0 K) (eV per atom) | size of the total moment (μB/f.u.) |
| --- | --- | --- |
| 1 | 1.225 | 10.9 |
| 2 | -0.312 | 2.3 |
| 3 | -0.325 | 3.0 |
| 4 | -0.089 | 1.3 |